[1]
This record from Alexandria via LeMat-Bulk describes a geometry-optimized BaTl2Os structure. The functional is GGA-PBE. Values from VASP.

Structure (Quantum ESPRESSO input):
```
&SYSTEM
  ibrav = 0, nat = 4, ntyp = 3
/
ATOMIC_SPECIES
Ba 137.33 Ba.upf
Tl 204.38 Tl.upf
Os 190.23 Os.upf
ATOMIC_POSITIONS crystal
Ba 0.000 0.000 0.000
Tl 0.213 0.213 0.213
Tl 0.787 0.787 0.787
Os 0.500 0.500 0.500
CELL_PARAMETERS angstrom
2.350 1.357 6.143
-2.350 1.357 6.143
0.000 -2.714 6.143
```

As for the density of states at the Fermi level: 2.392 states/eV per cell. The value obtained for the energy relative to the elements is 393.7 meV per atom. As for the space group: R-3m, No. 166.


[2]
This record from Alexandria via LeMat-Bulk describes a geometry-optimized Ba2Tl2Os structure. The functional is GGA-PBE. Values from VASP.

Structure (Quantum ESPRESSO input):
```
&SYSTEM
  ibrav = 0, nat = 10, ntyp = 3
/
ATOMIC_SPECIES
Ba 137.33 Ba.upf
Tl 204.38 Tl.upf
Os 190.23 Os.upf
ATOMIC_POSITIONS crystal
Ba 0.171 0.329 0.000
Ba 0.329 0.829 0.000
Ba 0.671 0.171 0.000
Ba 0.829 0.671 0.000
Tl 0.145 0.645 0.500
Tl 0.355 0.145 0.500
Tl 0.645 0.855 0.500
Tl 0.855 0.355 0.500
Os 0.000 0.000 0.000
Os 0.500 0.500 0.000
CELL_PARAMETERS angstrom
8.188 0.000 0.000
0.000 8.188 0.000
0.000 0.000 5.626
```

As for the offset from the most stable computed form: 178 meV/atom. As for the density of states at the Fermi level: 12.204 states/eV per cell. The value obtained for the energy relative to the elements is 712.2 meV per atom. As for the space group: P4/mbm, No. 127.


[3]
This record from Alexandria via LeMat-Bulk describes a geometry-optimized BaTl3Os structure. The functional is GGA-PBE. Values from VASP.

Structure (Quantum ESPRESSO input):
```
&SYSTEM
  ibrav = 0, nat = 5, ntyp = 3
/
ATOMIC_SPECIES
Ba 137.33 Ba.upf
Tl 204.38 Tl.upf
Os 190.23 Os.upf
ATOMIC_POSITIONS crystal
Ba 0.000 0.000 0.000
Tl 0.000 0.000 0.500
Tl 0.000 0.500 0.000
Tl 0.500 0.000 0.000
Os 0.500 0.500 0.500
CELL_PARAMETERS angstrom
6.354 0.000 0.000
0.000 6.354 0.000
0.000 0.000 6.354
```

As for the offset from the most stable computed form: 1841 meV/atom. As for the density of states at the Fermi level: 9.198 states/eV per cell. The value obtained for the energy relative to the elements is 1965.4 meV per atom. As for the space group: Pm-3m, No. 221.


[4]
This record from Alexandria via LeMat-Bulk describes a geometry-optimized BaTlOs2 structure. The functional is GGA-PBE. Values from VASP.

Structure (Quantum ESPRESSO input):
```
&SYSTEM
  ibrav = 0, nat = 4, ntyp = 3
/
ATOMIC_SPECIES
Ba 137.33 Ba.upf
Tl 204.38 Tl.upf
Os 190.23 Os.upf
ATOMIC_POSITIONS crystal
Ba 0.000 0.000 0.000
Tl 0.000 0.000 0.500
Os 0.500 0.500 0.329
Os 0.500 0.500 0.671
CELL_PARAMETERS angstrom
3.046 0.000 0.000
0.000 4.545 0.000
0.000 0.000 6.866
```

As for the offset from the most stable computed form: 768 meV/atom. As for the density of states at the Fermi level: 4.757 states/eV per cell. The value obtained for the energy relative to the elements is 1089.1 meV per atom. As for the space group: Pmmm, No. 47.


[5]
This record from Alexandria via LeMat-Bulk describes a geometry-optimized BaTl2Os structure. The functional is GGA-PBE. Values from VASP.

Structure (Quantum ESPRESSO input):
```
&SYSTEM
  ibrav = 0, nat = 4, ntyp = 3
/
ATOMIC_SPECIES
Ba 137.33 Ba.upf
Tl 204.38 Tl.upf
Os 190.23 Os.upf
ATOMIC_POSITIONS crystal
Ba 0.000 0.000 0.000
Tl 0.002 0.000 0.591
Tl 0.502 0.500 0.345
Os 0.502 0.500 0.729
CELL_PARAMETERS angstrom
3.722 0.000 0.000
0.000 3.668 0.000
-0.008 0.000 8.117
```

As for the density of states at the Fermi level: 2.587 states/eV per cell. The value obtained for the energy relative to the elements is 535.6 meV per atom. As for the space group: Pm, No. 6.


[6]
This record from Alexandria via LeMat-Bulk describes a geometry-optimized BaTlOs2 structure. The functional is GGA-PBE. Values from VASP.

Structure (Quantum ESPRESSO input):
```
&SYSTEM
  ibrav = 0, nat = 4, ntyp = 3
/
ATOMIC_SPECIES
Ba 137.33 Ba.upf
Tl 204.38 Tl.upf
Os 190.23 Os.upf
ATOMIC_POSITIONS crystal
Ba 0.000 0.000 0.000
Tl 0.204 0.204 0.204
Os 0.452 0.452 0.452
Os 0.783 0.783 0.783
CELL_PARAMETERS angstrom
2.133 1.231 7.007
-2.133 1.231 7.007
0.000 -2.463 7.007
```

As for the offset from the most stable computed form: 0 meV/atom. As for the density of states at the Fermi level: 3.679 states/eV per cell. The value obtained for the energy relative to the elements is 321.5 meV per atom. As for the space group: R3m, No. 160.


[7]
This record from Alexandria via LeMat-Bulk describes a geometry-optimized BaTlOs structure. The functional is GGA-PBE. Values from VASP.

Structure (Quantum ESPRESSO input):
```
&SYSTEM
  ibrav = 0, nat = 3, ntyp = 3
/
ATOMIC_SPECIES
Ba 137.33 Ba.upf
Tl 204.38 Tl.upf
Os 190.23 Os.upf
ATOMIC_POSITIONS crystal
Ba 0.000 0.000 0.000
Tl 0.500 0.500 0.500
Os 0.750 0.750 0.750
CELL_PARAMETERS angstrom
0.000 3.540 3.540
3.540 0.000 3.540
3.540 3.540 0.000
```

As for the offset from the most stable computed form: 191 meV/atom. As for the density of states at the Fermi level: 2.496 states/eV per cell. The value obtained for the energy relative to the elements is 821.9 meV per atom. As for the space group: F-43m, No. 216.


[8]
This record from Alexandria via LeMat-Bulk describes a geometry-optimized BaTl2Os structure. The functional is GGA-PBE. Values from VASP.

Structure (Quantum ESPRESSO input):
```
&SYSTEM
  ibrav = 0, nat = 4, ntyp = 3
/
ATOMIC_SPECIES
Ba 137.33 Ba.upf
Tl 204.38 Tl.upf
Os 190.23 Os.upf
ATOMIC_POSITIONS crystal
Ba 0.000 0.000 0.000
Tl 0.500 0.500 0.000
Tl 0.750 0.250 0.500
Os 0.250 0.750 0.500
CELL_PARAMETERS angstrom
-2.546 2.546 4.218
2.546 -2.546 4.218
2.546 2.546 -4.218
```

As for the density of states at the Fermi level: 4.815 states/eV per cell. The value obtained for the energy relative to the elements is 787.9 meV per atom. As for the space group: I-4m2, No. 119.


[9]
This record from Alexandria via LeMat-Bulk describes a geometry-optimized BaTl2Os structure. The functional is GGA-PBE. Values from VASP.

Structure (Quantum ESPRESSO input):
```
&SYSTEM
  ibrav = 0, nat = 4, ntyp = 3
/
ATOMIC_SPECIES
Ba 137.33 Ba.upf
Tl 204.38 Tl.upf
Os 190.23 Os.upf
ATOMIC_POSITIONS crystal
Ba 0.000 0.000 0.000
Tl 0.000 0.500 0.500
Tl 0.500 0.000 0.500
Os 0.500 0.500 0.000
CELL_PARAMETERS angstrom
3.165 -5.321 0.000
3.165 5.321 0.000
0.000 0.000 3.228
```

As for the density of states at the Fermi level: 3.655 states/eV per cell. The value obtained for the energy relative to the elements is 888.1 meV per atom. As for the space group: Cmmm, No. 65.


[10]
This record from Alexandria via LeMat-Bulk describes a geometry-optimized BaTlOs2 structure. The functional is GGA-PBE. Values from VASP.

Structure (Quantum ESPRESSO input):
```
&SYSTEM
  ibrav = 0, nat = 4, ntyp = 3
/
ATOMIC_SPECIES
Ba 137.33 Ba.upf
Tl 204.38 Tl.upf
Os 190.23 Os.upf
ATOMIC_POSITIONS crystal
Ba 0.000 0.000 0.000
Tl 0.500 0.500 0.500
Os 0.250 0.250 0.250
Os 0.750 0.750 0.750
CELL_PARAMETERS angstrom
0.000 3.502 3.502
3.502 0.000 3.502
3.502 3.502 0.000
```

As for the offset from the most stable computed form: 1216 meV/atom. As for the density of states at the Fermi level: 6.218 states/eV per cell. The value obtained for the energy relative to the elements is 1537.9 meV per atom. As for the space group: Fm-3m, No. 225.


[11]
This record from Alexandria via LeMat-Bulk describes a geometry-optimized BaTl2Os structure. The functional is GGA-PBE. Values from VASP.

Structure (Quantum ESPRESSO input):
```
&SYSTEM
  ibrav = 0, nat = 4, ntyp = 3
/
ATOMIC_SPECIES
Ba 137.33 Ba.upf
Tl 204.38 Tl.upf
Os 190.23 Os.upf
ATOMIC_POSITIONS crystal
Ba 0.000 0.000 0.000
Tl 0.315 0.815 0.500
Tl 0.653 0.653 0.000
Os 0.809 0.309 0.500
CELL_PARAMETERS angstrom
-1.686 2.283 7.412
1.686 -2.283 7.412
1.686 2.283 -7.412
```

As for the density of states at the Fermi level: 2.782 states/eV per cell. The value obtained for the energy relative to the elements is 439.4 meV per atom. As for the space group: Imm2, No. 44.


[12]
This record from Alexandria via LeMat-Bulk describes a geometry-optimized BaTl2Os structure. The functional is GGA-PBE. Values from VASP.

Structure (Quantum ESPRESSO input):
```
&SYSTEM
  ibrav = 0, nat = 4, ntyp = 3
/
ATOMIC_SPECIES
Ba 137.33 Ba.upf
Tl 204.38 Tl.upf
Os 190.23 Os.upf
ATOMIC_POSITIONS crystal
Ba 0.000 0.000 0.000
Tl 0.547 0.547 0.645
Tl 0.792 0.792 0.378
Os 0.184 0.184 0.556
CELL_PARAMETERS angstrom
4.126 -2.388 0.000
4.126 2.388 0.000
-2.743 0.000 6.078
```

As for the density of states at the Fermi level: 3.947 states/eV per cell. The value obtained for the energy relative to the elements is 392.9 meV per atom. As for the space group: Cm, No. 8.